DFT (GGA-PBE) results for a relaxed structure of SrLi2InHg4.

Geometry as CIF:
```
data_SrLi2InHg4
_symmetry_space_group_name_H-M 'R -3 m'
_symmetry_Int_Tables_number 166
_symmetry_space_group_name_Hall '-R 3 2"'
_cell_length_a 4.7698
_cell_length_b 4.7698
_cell_length_c 30.2235
_cell_angle_alpha 90.00
_cell_angle_beta 90.00
_cell_angle_gamma 120.00
loop_
_atom_site_label
_atom_site_type_symbol
_atom_site_fract_x
_atom_site_fract_y
_atom_site_fract_z
Sr1 Sr 0.0000 0.0000 0.0000
Li1 Li 0.0000 0.0000 0.2256
In1 In 0.0000 0.0000 0.5000
Hg1 Hg 0.0000 0.0000 0.1187
Hg2 Hg 0.0000 0.0000 0.3951
```

## Properties
calculated volume: 24.81 Å³ per atom
formation energy: -0.34 eV per atom
electronic total energy: -36.5 eV per cell
Fermi-level density of states: 0.5473 states/eV/atom
calculated density: 8.522 g/cm³



DFT (GGA-PBE) results for a relaxed structure of LaMo6S8.

Geometry as CIF:
```
data_LaMo6S8
_symmetry_space_group_name_H-M 'R -3'
_symmetry_Int_Tables_number 148
_symmetry_space_group_name_Hall '-R 3'
_cell_length_a 9.1966
_cell_length_b 9.1966
_cell_length_c 11.5869
_cell_angle_alpha 90.00
_cell_angle_beta 90.00
_cell_angle_gamma 120.00
loop_
_atom_site_label
_atom_site_type_symbol
_atom_site_fract_x
_atom_site_fract_y
_atom_site_fract_z
La1 La 0.0000 0.0000 0.0000
Mo1 Mo 0.0170 0.1764 0.4031
S1 S 0.0000 0.0000 0.2442
S2 S 0.0025 0.3772 0.2500
```

## Properties
formation energy without anion corrections: -0.957 eV/atom
calculated volume: 18.86 Å³ per atom
electronic total energy: -351.9 eV per cell
Fermi-level density of states: 0.5179 states/eV/atom
calculated density: 5.700 g/cm³



DFT (GGA-PBE) results for a relaxed structure of Cd2CoHg.

Geometry as CIF:
```
data_Cd2CoHg
_symmetry_space_group_name_H-M 'P 4 m m'
_symmetry_Int_Tables_number 99
_symmetry_space_group_name_Hall 'P 4 -2'
_cell_length_a 3.0331
_cell_length_b 3.0331
_cell_length_c 8.2774
_cell_angle_alpha 90.00
_cell_angle_beta 90.00
_cell_angle_gamma 90.00
loop_
_atom_site_label
_atom_site_type_symbol
_atom_site_fract_x
_atom_site_fract_y
_atom_site_fract_z
Cd1 Cd 0.0000 0.0000 0.0000
Cd2 Cd 0.5000 0.5000 0.2897
Co1 Co 0.0000 0.0000 0.4977
Hg1 Hg 0.5000 0.5000 0.7076
```

## Properties
calculated volume: 19.04 Å³ per atom
formation energy: 0.27 eV per atom
electronic total energy: -8.1 eV per cell
Fermi-level density of states: 1.2679 states/eV/atom
calculated density: 10.561 g/cm³



DFT (GGA-PBE) results for a relaxed structure of BePbSe2N.

Geometry as CIF:
```
data_BePbSe2N
_symmetry_space_group_name_H-M 'P 4/m m m'
_symmetry_Int_Tables_number 123
_symmetry_space_group_name_Hall '-P 4 2'
_cell_length_a 5.7011
_cell_length_b 5.7011
_cell_length_c 3.1217
_cell_angle_alpha 90.00
_cell_angle_beta 90.00
_cell_angle_gamma 90.00
loop_
_atom_site_label
_atom_site_type_symbol
_atom_site_fract_x
_atom_site_fract_y
_atom_site_fract_z
Be1 Be 0.0000 0.0000 0.0000
Pb1 Pb 0.5000 0.5000 0.5000
Se1 Se 0.0000 0.5000 0.0000
N1 N 0.0000 0.0000 0.5000
```

## Properties
formation energy without anion corrections: 0.247 eV/atom
calculated volume: 20.29 Å³ per atom
electronic total energy: -21.5 eV per cell
Fermi-level density of states: 0.3062 states/eV/atom
calculated density: 6.352 g/cm³
distance to the lowest polymorph of the same formula: 0.000 kcal/mol of atoms



DFT (GGA-PBE) results for a relaxed structure of Cs2SrTl10.

Geometry as CIF:
```
data_Cs2SrTl10
_symmetry_space_group_name_H-M 'P b a m'
_symmetry_Int_Tables_number 55
_symmetry_space_group_name_Hall '-P 2 2ab'
_cell_length_a 9.4820
_cell_length_b 16.6758
_cell_length_c 7.0469
_cell_angle_alpha 90.00
_cell_angle_beta 90.00
_cell_angle_gamma 90.00
loop_
_atom_site_label
_atom_site_type_symbol
_atom_site_fract_x
_atom_site_fract_y
_atom_site_fract_z
Cs1 Cs 0.2029 0.0990 0.0000
Sr1 Sr 0.0000 0.5000 0.5000
Tl1 Tl 0.0353 0.1669 0.5000
Tl2 Tl 0.1383 0.6831 0.5000
Tl3 Tl 0.1610 0.9827 0.5000
Tl4 Tl 0.1882 0.3321 0.2403
```

## Properties
calculated volume: 42.86 Å³ per atom
formation energy: -0.02 eV per atom
electronic total energy: -54.6 eV per cell
Fermi-level density of states: 0.6282 states/eV/atom
calculated density: 7.145 g/cm³



DFT (GGA-PBE) results for a relaxed structure of Pu2As4Pt3Rh.

Geometry as CIF:
```
data_Pu2As4Pt3Rh
_symmetry_space_group_name_H-M 'P -4 m 2'
_symmetry_Int_Tables_number 115
_symmetry_space_group_name_Hall 'P -4 -2'
_cell_length_a 4.3895
_cell_length_b 4.3895
_cell_length_c 9.9663
_cell_angle_alpha 90.00
_cell_angle_beta 90.00
_cell_angle_gamma 90.00
loop_
_atom_site_label
_atom_site_type_symbol
_atom_site_fract_x
_atom_site_fract_y
_atom_site_fract_z
Pu1 Pu 0.0000 0.5000 0.2479
As1 As 0.0000 0.0000 0.0000
As2 As 0.0000 0.5000 0.6310
As3 As 0.5000 0.5000 0.0000
Pt1 Pt 0.0000 0.5000 0.8754
Pt2 Pt 0.5000 0.5000 0.5000
Rh1 Rh 0.0000 0.0000 0.5000
```

## Properties
calculated volume: 19.20 Å³ per atom
formation energy: -0.64 eV per atom
electronic total energy: -79.2 eV per cell
Fermi-level density of states: 3.1987 states/eV/atom
calculated density: 12.762 g/cm³